No. 1
# Cr2SiSbMo

An optimized crystal structure of Cr2SiSbMo (GGA-PBE, the Alexandria database).

Computed properties:
total magnetic moment = 1.114 μB/atom
crystal system = tetragonal
volume = 114 Å³ per cell
raw formation energy = 1.311 eV/atom
raw total energy = -6.61 eV per atom

extended XYZ file:
```
5
Lattice="-2.8658 -0.1372 -3.7416 3.2440 -3.2186 -2.3667 -2.2770 -3.6765 1.8788" Properties=species:S:1:pos:R:3 pbc="T T T"
Sb 1.6220 -1.6093 -1.1834
Mo 0.0000 0.0000 0.0000
Si -0.9494 -3.5162 -2.1147
Cr -1.1385 -1.8383 0.9394
Cr -1.4329 -0.0686 -1.8708
```


No. 2
# Sc2CrMo

An optimized crystal structure of Sc2CrMo (GGA-PBE, the Alexandria database).

Computed properties:
total magnetic moment = 0.293 μB/atom
crystal system = tetragonal
volume = 70 Å³ per cell
polymorph energy (0 for the lowest one) = 208 meV per atom
DFT formation energy = 1.146 eV/f.u.
raw total energy = -7.99 eV per atom

extended XYZ file:
```
4
Lattice="-4.1716 -0.5600 1.9464 -1.4276 -2.4022 -3.7008 3.8262 -1.2904 2.2801" Properties=species:S:1:pos:R:3 pbc="T T T"
Cr -2.7996 -1.4811 -0.8772
Mo -1.5724 -1.6658 1.6747
Sc 0.0000 0.0000 0.0000
Sc -0.2004 -2.5869 -1.1489
```


No. 3
# Sc2CrMo

An optimized crystal structure of Sc2CrMo (GGA-PBE, the Alexandria database).

Computed properties:
total magnetic moment = 0.001 μB/atom
crystal system = orthorhombic
volume = 73 Å³ per cell
polymorph energy (0 for the lowest one) = 28 meV per atom
DFT formation energy = 0.425 eV/f.u.
raw total energy = -8.17 eV per atom

extended XYZ file:
```
4
Lattice="5.5198 0.0063 0.0110 4.5617 3.1080 0.0110 2.0418 0.6308 4.2528" Properties=species:S:1:pos:R:3 pbc="T T T"
Cr 5.8050 1.7933 2.2724
Mo 9.3950 2.9022 3.0471
Sc 2.1447 0.6625 4.1988
Sc 2.8821 0.8903 1.1465
```


No. 4
# Sc2CrMo

An optimized crystal structure of Sc2CrMo (GGA-PBE, the Alexandria database).

Computed properties:
total magnetic moment = 0.605 μB/atom
crystal system = trigonal
volume = 74 Å³ per cell
polymorph energy (0 for the lowest one) = 554 meV per atom
DFT formation energy = 2.531 eV/f.u.
raw total energy = -7.65 eV per atom

extended XYZ file:
```
4
Lattice="1.7031 0.0000 9.7785 -0.8515 1.4749 9.7785 -0.8515 -1.4749 9.7785" Properties=species:S:1:pos:R:3 pbc="T T T"
Sc 0.0000 0.0000 26.6499
Sc 0.0000 0.0000 2.6856
Cr 0.0000 0.0000 14.6677
Mo 0.0000 0.0000 0.0000
```


No. 5
# ScCrMo

An optimized crystal structure of ScCrMo (GGA-PBE, the Alexandria database).

Computed properties:
total magnetic moment = 0.000 μB/atom
crystal system = orthorhombic
volume = 49 Å³ per cell
polymorph energy (0 for the lowest one) = 162 meV per atom
DFT formation energy = 0.837 eV/f.u.
raw total energy = -8.65 eV per atom

extended XYZ file:
```
3
Lattice="-3.2714 -5.6029 -2.5388 -1.4982 -4.7102 -4.5818 1.0183 -2.2444 1.4288" Properties=species:S:1:pos:R:3 pbc="T T T"
Cr -4.7039 -10.2214 -7.0236
Mo -1.0035 -5.0629 -1.5577
Sc -2.8135 -7.5861 -4.2313
```


No. 6
# Sc2CrMo

An optimized crystal structure of Sc2CrMo (GGA-PBE, the Alexandria database).

Computed properties:
total magnetic moment = 0.677 μB/atom
crystal system = tetragonal
volume = 73 Å³ per cell
polymorph energy (0 for the lowest one) = 248 meV per atom
DFT formation energy = 1.303 eV/f.u.
raw total energy = -7.95 eV per atom

extended XYZ file:
```
4
Lattice="4.7547 0.0000 0.0000 0.0000 4.7547 0.0000 0.0000 0.0000 3.2485" Properties=species:S:1:pos:R:3 pbc="T T T"
Cr 2.3774 0.0000 1.6242
Mo 0.0000 2.3774 1.6242
Sc 0.0000 0.0000 0.0000
Sc 2.3774 2.3774 0.0000
```


No. 7
# ScCrMo

An optimized crystal structure of ScCrMo (GGA-PBE, the Alexandria database).

Computed properties:
total magnetic moment = 0.001 μB/atom
crystal system = triclinic
volume = 98 Å³ per cell
polymorph energy (0 for the lowest one) = 67 meV per atom
DFT formation energy = 0.551 eV/f.u.
raw total energy = -8.75 eV per atom

extended XYZ file:
```
6
Lattice="-0.2185 2.9956 0.8198 -2.4673 -0.2775 -4.6641 -4.1496 -1.8536 4.7354" Properties=species:S:1:pos:R:3 pbc="T T T"
Sc -2.3841 0.1003 -3.2296
Sc -4.4512 0.7641 4.1207
Cr -4.2622 -0.0360 1.4728
Cr -2.5732 0.9004 -0.5817
Mo -2.4399 1.6318 1.8656
Mo -4.3954 -0.7674 -0.9745
```


No. 8
# Sc2CrMo

An optimized crystal structure of Sc2CrMo (GGA-PBE, the Alexandria database).

Computed properties:
total magnetic moment = 0.250 μB/atom
crystal system = orthorhombic
volume = 70 Å³ per cell
polymorph energy (0 for the lowest one) = 286 meV per atom
DFT formation energy = 1.458 eV/f.u.
raw total energy = -7.91 eV per atom

extended XYZ file:
```
4
Lattice="2.8374 0.0226 0.0000 -0.8036 2.7213 0.0000 0.0000 0.0000 8.9860" Properties=species:S:1:pos:R:3 pbc="T T T"
Cr 1.0169 1.3720 2.2465
Mo 1.0169 1.3720 6.7395
Sc 0.0000 0.0000 0.1266
Sc 0.0000 0.0000 4.3665
```